Entry 1:
First-principles (PBE-GGA) data for a geometry-optimized In5Ge2Pd12 structure, as listed in Alexandria via LeMat-Bulk.

Lattice parameters (Å, degrees): 8.7953 8.7881 6.8016 126.10 90.00 120.03
Closest atoms and distances in Å follow each position.
Fractional coordinates of all 19 atoms:
Pd  0.1250  0.2500  0.1794  2 Ge 2.56, 2 In 2.67-2.72, 3 Pd 2.79-2.84
Pd  0.8750  0.7500  0.8206  2 Ge 2.56, 2 In 2.67-2.72, 3 Pd 2.79-2.84
Pd  0.3991  0.3057  0.5067  1 Ge 2.53, 2 In 2.69-2.78, 1 Pd 2.80
Pd  0.6441  0.7451  0.1109  1 Ge 2.52, 2 In 2.79-2.80
Pd  0.4963  0.9927  0.7709  4 In 2.68-2.85, 2 Ge 2.72, 4 Pd 2.80-2.85
Pd  0.0934  0.6943  0.4933  1 Ge 2.53, 2 In 2.69-2.78, 1 Pd 2.80
Pd  0.6009  0.6943  0.4933  1 Ge 2.53, 2 In 2.69-2.78, 1 Pd 2.80
Pd  0.9066  0.3057  0.5067  1 Ge 2.53, 2 In 2.69-2.78, 1 Pd 2.80
Pd  0.5037  0.0073  0.2291  4 In 2.68-2.85, 2 Ge 2.72, 4 Pd 2.80-2.85
Pd  0.1010  0.7451  0.1109  1 Ge 2.52, 2 In 2.79-2.80
Pd  0.3559  0.2549  0.8891  1 Ge 2.52, 2 In 2.79-2.80
Pd  0.8990  0.2549  0.8891  1 Ge 2.52, 2 In 2.79-2.80
Ge  0.2442  0.0000  0.0000  8 Pd 2.52-2.72
Ge  0.7558  0.0000  0.0000  8 Pd 2.52-2.72
In  0.0000  0.0000  0.5000  4 Pd 2.80
In  0.3103  0.6205  0.2008  9 Pd 2.72-2.87
In  0.2954  0.5908  0.7139  5 Pd 2.67-2.81
In  0.7046  0.4092  0.2861  5 Pd 2.67-2.81
In  0.6897  0.3795  0.7992  9 Pd 2.72-2.87

Summary:
E_form = -38.81 kJ per mole of atoms
space group = C2/m, No. 12

***

Entry 2:
First-principles (PBE-GGA) data for a geometry-optimized CuPd2Rh2 structure, as listed in Alexandria via LeMat-Bulk.

Lattice parameters (Å, degrees): 7.5648 7.5648 2.7553 90.00 90.00 90.00
Closest atoms and distances in Å follow each position.
Fractional coordinates of all 10 atoms:
Rh  0.3290  0.1710  0.5000  6 Pd 2.56-2.67, 2 Rh 2.76
Rh  0.8290  0.3290  0.5000  6 Pd 2.56-2.67, 2 Rh 2.76
Rh  0.1710  0.6710  0.5000  6 Pd 2.56-2.67, 2 Rh 2.76
Rh  0.6710  0.8290  0.5000  6 Pd 2.56-2.67, 2 Rh 2.76
Cu  0.0000  0.0000  0.0000  2 Cu 2.76, 4 Pd 2.98
Cu  0.5000  0.5000  0.0000  2 Cu 2.76, 4 Pd 2.98
Pd  0.8724  0.6276  0.0000  6 Rh 2.56-2.67, 3 Pd 2.73-2.76
Pd  0.6276  0.1276  0.0000  6 Rh 2.56-2.67, 3 Pd 2.73-2.76
Pd  0.3724  0.8724  0.0000  6 Rh 2.56-2.67, 3 Pd 2.73-2.76
Pd  0.1276  0.3724  0.0000  6 Rh 2.56-2.67, 3 Pd 2.73-2.76

Summary:
E_form = 38.84 kJ per mole of atoms
space group = P4/mbm, No. 127
polymorph energy (0 for the lowest one) = 54 meV/atom

***

Entry 3:
First-principles (PBE-GGA) data for a geometry-optimized Zn4CuPt structure, as listed in Alexandria via LeMat-Bulk.

Lattice parameters (Å, degrees): 4.9370 4.9370 4.9370 60.00 60.00 60.00
Closest atoms and distances in Å follow each position.
Fractional coordinates of all 6 atoms:
Cu  0.2500  0.2500  0.2500  12 Zn 2.89, 4 Pt 3.02
Zn  0.6249  0.1252  0.6249  6 Zn 2.47
Zn  0.6249  0.6249  0.6249  6 Zn 2.47
Zn  0.6249  0.6249  0.1252  6 Zn 2.47
Zn  0.1252  0.6249  0.6249  6 Zn 2.47
Pt  0.0000  0.0000  0.0000  12 Zn 2.89, 4 Cu 3.02

Summary:
E_form = -10.17 kJ per mole of atoms
space group = F-43m, No. 216
polymorph energy (0 for the lowest one) = 146 meV/atom

***

Entry 4:
First-principles (PBE-GGA) data for a geometry-optimized ZnFe2Os structure, as listed in Alexandria via LeMat-Bulk.

Lattice parameters (Å, degrees): 4.5276 4.5276 4.5468 79.68 79.68 33.86
Closest atoms and distances in Å follow each position.
Fractional coordinates of all 4 atoms:
Os  0.4935  0.4935  0.5231  7 Fe 2.53-2.70, 2 Os 2.64, 3 Zn 2.67-2.71
Zn  0.2514  0.2514  0.2348  7 Fe 2.56-2.65, 2 Zn 2.64, 3 Os 2.67-2.71
Fe  0.0050  0.0050  0.0002  4 Os 2.56-2.70, 3 Zn 2.56-2.61, 5 Fe 2.59-2.69
Fe  0.7501  0.7501  0.7418  3 Os 2.53-2.60, 5 Fe 2.59-2.69, 4 Zn 2.60-2.65

Summary:
E_form = 12.57 kJ per mole of atoms
space group = Cm, No. 8

***

Entry 5:
First-principles (PBE-GGA) data for a geometry-optimized Nd3Dy4Cd structure, as listed in Alexandria via LeMat-Bulk.

Lattice parameters (Å, degrees): 6.2433 7.1228 11.3392 90.00 90.00 90.00
Closest atoms and distances in Å follow each position.
Fractional coordinates of all 16 atoms:
Cd  0.6529  0.6365  0.5000  6 Dy 3.37-3.75, 5 Nd 3.39-3.64
Cd  0.1529  0.3635  0.0000  6 Dy 3.37-3.75, 5 Nd 3.39-3.64
Nd  0.1237  0.3712  0.5000  5 Dy 3.42-3.58, 4 Nd 3.47-3.60, 2 Cd 3.49-3.81
Nd  0.4801  0.3818  0.2657  2 Cd 3.39-3.64, 4 Nd 3.47-3.60, 6 Dy 3.49-3.66
Nd  0.9801  0.6182  0.2343  2 Cd 3.39-3.64, 4 Nd 3.47-3.60, 6 Dy 3.49-3.66
Nd  0.9801  0.6182  0.7657  2 Cd 3.39-3.64, 4 Nd 3.47-3.60, 6 Dy 3.49-3.66
Nd  0.4801  0.3818  0.7343  2 Cd 3.39-3.64, 4 Nd 3.47-3.60, 6 Dy 3.49-3.66
Nd  0.6237  0.6288  0.0000  5 Dy 3.42-3.58, 4 Nd 3.47-3.60, 2 Cd 3.49-3.81
Dy  0.9858  0.1244  0.2409  1 Cd 3.38, 6 Dy 3.39-3.60, 5 Nd 3.52-3.66
Dy  0.4858  0.8756  0.7409  1 Cd 3.38, 6 Dy 3.39-3.60, 5 Nd 3.52-3.66
Dy  0.1647  0.8905  0.0000  2 Cd 3.37-3.75, 6 Dy 3.39-3.68, 3 Nd 3.42-3.49
Dy  0.4858  0.8756  0.2591  1 Cd 3.38, 6 Dy 3.39-3.60, 5 Nd 3.52-3.66
Dy  0.9858  0.1244  0.7591  1 Cd 3.38, 6 Dy 3.39-3.60, 5 Nd 3.52-3.66
Dy  0.6647  0.1095  0.5000  2 Cd 3.37-3.75, 6 Dy 3.39-3.68, 3 Nd 3.42-3.49
Dy  0.1422  0.8695  0.5000  6 Dy 3.44-3.68, 2 Cd 3.48-3.59, 4 Nd 3.55-3.65
Dy  0.6422  0.1305  0.0000  6 Dy 3.44-3.68, 2 Cd 3.48-3.59, 4 Nd 3.55-3.65

Summary:
E_form = -4.40 kJ per mole of atoms
space group = Pmn2_1, No. 31
polymorph energy (0 for the lowest one) = 22 meV/atom

***

Entry 6:
First-principles (PBE-GGA) data for a geometry-optimized CrCd2W structure, as listed in Alexandria via LeMat-Bulk.

Lattice parameters (Å, degrees): 5.4965 5.4965 5.4965 146.95 127.65 63.32
Closest atoms and distances in Å follow each position.
Fractional coordinates of all 4 atoms:
Cr  0.4715  0.4715  0.0000  2 W 2.33
Cd  0.0074  0.0074  0.0000  4 Cr 2.90, 6 Cd 3.00-3.22, 4 W 3.05-3.19
Cd  0.7344  0.2344  0.5000  2 Cr 2.91, 4 W 2.93, 6 Cd 3.00-3.22
W  0.2867  0.7867  0.5000  2 Cr 2.33

Summary:
E_form = 54.49 kJ per mole of atoms
space group = Imm2, No. 44
polymorph energy (0 for the lowest one) = 195 meV/atom

***

Entry 7:
First-principles (PBE-GGA) data for a geometry-optimized In3GaBr6 structure, as listed in Alexandria via LeMat-Bulk.

Lattice parameters (Å, degrees): 7.9532 10.3377 10.3377 106.55 90.00 90.00
Closest atoms and distances in Å follow each position.
Fractional coordinates of all 20 atoms:
In  0.9451  0.5938  0.4062  4 Br 3.21-3.24
In  0.9686  0.1048  0.2852  2 Br 3.02-3.10
In  0.4451  0.4062  0.5938  4 Br 3.21-3.24
In  0.9686  0.7148  0.8952  2 Br 3.02-3.10
In  0.4686  0.2852  0.1048  2 Br 3.02-3.10
In  0.4686  0.8952  0.7148  2 Br 3.02-3.10
Br  0.1567  0.0971  0.5889  1 Ga 2.37
Br  0.7389  0.2184  0.7816  1 Ga 2.35
Br  0.6567  0.5889  0.0971  1 Ga 2.37
Br  0.1567  0.4111  0.9029  1 Ga 2.37
Br  0.6567  0.9029  0.4111  1 Ga 2.37
Br  0.0956  0.0571  0.9429  1 Ga 2.39
Br  0.5956  0.9429  0.0571  1 Ga 2.39
Br  0.7120  0.6525  0.6703  4 In 3.02-3.24
Br  0.2120  0.3475  0.3297  4 In 3.02-3.24
Br  0.2389  0.7816  0.2184  1 Ga 2.35
Br  0.2120  0.6703  0.6525  4 In 3.02-3.24
Br  0.7120  0.3297  0.3475  4 In 3.02-3.24
Ga  0.0313  0.1982  0.8018  4 Br 2.35-2.39
Ga  0.5313  0.8018  0.1982  4 Br 2.35-2.39

Summary:
uncorrected formation energy = -71.4 kJ per mole of atoms
space group = Cmc2_1, No. 36
polymorph energy (0 for the lowest one) = 0 meV/atom

***

Entry 8:
First-principles (PBE-GGA) data for a geometry-optimized NdTcSn structure, as listed in Alexandria via LeMat-Bulk.

Lattice parameters (Å, degrees): 4.1993 4.1993 10.7448 78.73 78.73 60.00
Closest atoms and distances in Å follow each position.
Fractional coordinates of all 6 atoms:
Sn  0.6909  0.6909  0.9274  3 Sn 2.86
Sn  0.3091  0.3091  0.0726  3 Sn 2.86
Nd  0.4310  0.4310  0.7069  6 Tc 3.12-3.39, 3 Sn 3.35
Nd  0.5690  0.5690  0.2931  6 Tc 3.12-3.39, 3 Sn 3.35
Tc  0.8396  0.8396  0.4811  3 Tc 2.46
Tc  0.1604  0.1604  0.5189  3 Tc 2.46

Summary:
E_form = -19.14 kJ per mole of atoms
space group = R-3m, No. 166

***

Entry 9:
First-principles (PBE-GGA) data for a geometry-optimized ZrCuRe4 structure, as listed in Alexandria via LeMat-Bulk.

Lattice parameters (Å, degrees): 5.2258 5.2258 5.2258 60.00 60.00 60.00
Closest atoms and distances in Å follow each position.
Fractional coordinates of all 6 atoms:
Re  0.3742  0.3742  0.3742  6 Re 2.60-2.63
Re  0.8773  0.3742  0.3742  6 Re 2.60-2.63
Re  0.3742  0.3742  0.8773  6 Re 2.60-2.63
Re  0.3742  0.8773  0.3742  6 Re 2.60-2.63
Zr  0.7500  0.7500  0.7500  12 Re 3.07, 4 Cu 3.20
Cu  0.0000  0.0000  0.0000  12 Re 3.06, 4 Zr 3.20

Summary:
E_form = 10.14 kJ per mole of atoms
space group = F-43m, No. 216

***

Entry 10:
First-principles (PBE-GGA) data for a geometry-optimized CaY2Br structure, as listed in Alexandria via LeMat-Bulk.

Lattice parameters (Å, degrees): 10.7887 10.7887 10.7887 19.80 19.80 19.80
Closest atoms and distances in Å follow each position.
Fractional coordinates of all 4 atoms:
Ca  0.7500  0.7500  0.7500  6 Y 3.67, 6 Ca 3.71
Br  0.2500  0.2500  0.2500  6 Y 3.15
Y  0.9893  0.9893  0.9893  3 Br 3.15
Y  0.5107  0.5107  0.5107  3 Br 3.15

Summary:
uncorrected formation energy = -42.6 kJ per mole of atoms
space group = R-3m, No. 166
polymorph energy (0 for the lowest one) = 106 meV/atom

***

Computed magnetic moment, in the same sequence as the records: 0.0, 0.0, 0.0, 4.0, 0.0, 0.0, 0.0, 0.0, 0.0, 0.0 μB per formula unit.
Computed total DFT energy (no corrections), in the same sequence as the records: -4.889, -5.434, -2.644, -7.227, -4.249, -5.537, -2.868, -6.577, -10.301, -4.592 eV per atom.